Record 1
The following is a PBEsol calculation of crystalline Fe2TcRh at its relaxed geometry, from the Alexandria database.

a b c (Å): 2.5699 3.5897 5.1682
angles (deg): 90.00 90.00 90.00
Last column: nearest neighbours and their distance in Å.
Fractional positions:
Fe: 0.0000 0.0000 0.7451  4 Fe 2.53-2.63, 4 Tc 2.55, 4 Rh 2.57
Fe: 0.0000 0.0000 0.2549  4 Fe 2.53-2.63, 4 Tc 2.55, 4 Rh 2.57
Rh: 0.5000 0.5000 0.0000  2 Rh 2.57, 8 Fe 2.57, 2 Tc 2.58
Tc: 0.5000 0.5000 0.5000  8 Fe 2.55, 2 Tc 2.57, 2 Rh 2.58

Calculated values
Its electronic total energy is -0.34018 Ha/atom. Its total magnetic moment is 1.733 μB/f.u. As for the excess energy over the best structure of this formula in the dataset: 0 meV per atom. The calculation puts the formation enthalpy at 0 K at 0.08 eV/atom. As for the density of states at the Fermi level: 5.78 states/eV/f.u.



Record 2
The following is a PBEsol calculation of crystalline Nd4Cu3Ni at its relaxed geometry, from the Alexandria database.

a b c (Å): 4.3925 5.5216 7.2360
angles (deg): 89.80 90.00 90.00
Last column: nearest neighbours and their distance in Å.
Fractional positions:
Nd: 0.0000 0.3773 0.3244  2 Ni 2.89-3.00, 5 Cu 2.90-3.04
Nd: 0.0000 0.1185 0.8156  1 Ni 2.84, 6 Cu 2.93-3.07
Nd: 0.5000 0.6296 0.6751  5 Cu 2.89-3.03, 2 Ni 3.02
Nd: 0.5000 0.8740 0.1873  5 Cu 2.86-3.09, 2 Ni 2.98
Cu: 0.0000 0.6108 0.9642  2 Cu 2.58
Cu: 0.5000 0.1208 0.5342  2 Ni 2.60, 2 Nd 2.86-2.89
Cu: 0.5000 0.3821 0.0337  2 Cu 2.58
Ni: 0.0000 0.8869 0.4655  2 Cu 2.60, 2 Nd 2.84-2.89

Calculated values
Its electronic total energy is -0.19014 Ha/atom. Its total magnetic moment is 0.000 μB/f.u. The calculation puts the formation enthalpy at 0 K at -0.20 eV/atom. As for the density of states at the Fermi level: 6.69 states/eV/f.u.